The following is a PBE calculation of a relaxed TcNiOs2 crystal, from the Alexandria database.

Cell and atoms, written as CIF:
```
data_TcNiOs2
_chemical_formula_sum 'Tc1 Ni1 Os2'
_cell_length_a 2.7046
_cell_length_b 3.8127
_cell_length_c 5.2920
_cell_angle_alpha 90.00
_cell_angle_beta 90.08
_cell_angle_gamma 90.00
_symmetry_space_group_name_H-M 'P 1 m 1'
_symmetry_Int_Tables_number 6
_symmetry_space_group_name_Hall 'P -2y'
loop_
_atom_site_label
_atom_site_type_symbol
_atom_site_fract_x
_atom_site_fract_y
_atom_site_fract_z
_atom_site_occupancy
Tc1 Tc 0.0000 0.0000 0.0000 1
Ni1 Ni 0.5003 0.5000 0.2407 1
Os1 Os 0.0003 0.0000 0.4809 1
Os2 Os 0.5011 0.5000 0.7369 1
```

Summary:
DFT formation energy = 0.0953 eV per atom
Total magnetization = 0.00 μB per cell
VASP energy = -0.351 Ha/atom
Relative energy among the computed polymorphs = 0 meV/atom